The following is a DFT calculation (PBE+U) of an optimized crystal structure of CrGaP2O.

Values from the calculation:
DOS(E_F), states/eV/cell: 4.81
Size of the total moment, μB per formula unit: 3.94
SG: P4/mmm (123)
Relative energy among the computed polymorphs, kcal/mol of atoms: 5.64
Volume, Å³ per atom: 17.6
E, eV/f.u.: -24.61

Unit cell a=4.981 b=4.981 c=3.537 alpha=90.00 beta=90.00 gamma=90.00
Sites, in units of the cell vectors:
Cr 0.000 0.000 0.000
Ga 0.500 0.500 0.500
P 0.000 0.500 0.500
P 0.500 0.000 0.500
O 0.500 0.500 0.000